Entry 1:
First-principles (GGA-PBE) data for LaHoTe2O8 after structural relaxation, as listed in Alexandria via LeMat-Bulk.

Computed properties:
Formation energy (no corrections): -1.9417 eV per atom
Size of the total moment: 0.000 μB per formula unit
DFT total energy: -157.51 eV/cell
N(E_F): 3.79 states/eV per cell

a b c (Å): 7.5286 7.5286 6.9437
angles (deg): 90.00 90.00 90.00
Closest atoms and distances in Å follow each position.
Space group I-4m2 (No. 119)
Inequivalent atoms, fractional coordinates:
La (0.0000, 0.0000, 0.0000) x2  8 O 2.45-2.56
Ho (0.0000, 0.5000, 0.7500) x2  8 O 2.35-2.49
Te (0.0000, 0.0000, 0.5000) x2  4 O 1.98
Te (0.0000, 0.5000, 0.2500) x2  4 O 1.92
O (0.0000, 0.1922, 0.6952) x8  1 Te 1.98
O (0.0000, 0.3222, 0.0524) x8  1 Te 1.92

Entry 2:
First-principles (GGA-PBE) data for Ru2RhCl after structural relaxation, as listed in Alexandria via LeMat-Bulk.

Computed properties:
E above lowest polymorph: 292.8 meV per atom
Formation energy (no corrections): 0.6391 eV per atom
Size of the total moment: 0.000 μB per formula unit
DFT total energy: -25.19 eV/cell
N(E_F): 5.90 states/eV per cell

a b c (Å): 2.8299 3.4968 6.3265
angles (deg): 90.00 90.00 90.00
Closest atoms and distances in Å follow each position.
Space group Pmmm (No. 47)
Inequivalent atoms, fractional coordinates:
Ru (0.0000, 0.0000, 0.2114) x2  4 Rh 2.62, 3 Ru 2.67-2.83, 4 Cl 2.90
Rh (0.5000, 0.5000, 0.0000) x1  8 Ru 2.62, 2 Rh 2.83
Cl (0.5000, 0.5000, 0.5000) x1  2 Cl 2.83, 8 Ru 2.90, 2 Rh 3.16

Entry 3:
First-principles (GGA-PBE) data for Cs2GeI4 after structural relaxation, as listed in Alexandria via LeMat-Bulk.

Computed properties:
E above lowest polymorph: 15.0 meV per atom
Formation energy (no corrections): -1.0181 eV per atom
Size of the total moment: 0.000 μB per formula unit
DFT total energy: -39.30 eV/cell
N(E_F): 0.00 states/eV per cell

a b c (Å): 8.3119 8.1306 11.3224
angles (deg): 90.00 107.53 90.00
Closest atoms and distances in Å follow each position.
Space group P2_1/m (No. 11)
Inequivalent atoms, fractional coordinates:
Cs (0.1334, 0.2500, 0.4325) x2  8 I 3.96-4.17, 1 Ge 3.99
Cs (0.2747, 0.7500, 0.0700) x2  8 I 3.97-4.13
Ge (0.4550, 0.7500, 0.6794) x2  4 I 2.73-3.06
I (0.2177, 0.2500, 0.1052) x2  1 Ge 3.06
I (0.2340, 0.7500, 0.4118) x2  1 Ge 3.03
I (0.2927, 0.9995, 0.7590) x4  1 Ge 2.73

Entry 4:
First-principles (GGA-PBE) data for MgSc6Ir5 after structural relaxation, as listed in Alexandria via LeMat-Bulk.

Computed properties:
Energy of formation from the pure elements: -0.882 eV per atom
Size of the total moment: 0.000 μB per formula unit
DFT total energy: -188.95 eV/cell
N(E_F): 9.74 states/eV per cell

a b c (Å): 4.6442 6.4196 13.9930
angles (deg): 90.00 90.00 90.00
Closest atoms and distances in Å follow each position.
Space group Immm (No. 71)
Inequivalent atoms, fractional coordinates:
Mg (0.0000, 0.0000, 0.0000) x2  8 Sc 2.86-2.90
Sc (0.0000, 0.2395, 0.5000) x4  6 Ir 2.78-2.82, 2 Mg 2.86, 1 Sc 3.07
Sc (0.0000, 0.2551, 0.1711) x8  7 Ir 2.80-2.86, 1 Mg 2.90
Ir (0.0000, 0.0000, 0.3331) x4  8 Sc 2.80
Ir (0.0000, 0.5000, 0.0000) x2  8 Sc 2.78-2.86
Ir (0.0000, 0.5000, 0.3377) x4  8 Sc 2.81-2.84

Entry 5:
First-principles (GGA-PBE) data for Mg2SiPd2 after structural relaxation, as listed in Alexandria via LeMat-Bulk.

Computed properties:
E above lowest polymorph: 69.6 meV per atom
Formation energy (no corrections): -0.5522 eV per atom
Size of the total moment: 0.000 μB per formula unit
DFT total energy: -43.52 eV/cell
N(E_F): 3.52 states/eV per cell

a b c (Å): 6.3294 6.3294 4.2923
angles (deg): 90.00 90.00 90.00
Closest atoms and distances in Å follow each position.
Space group P4/mbm (No. 127)
Inequivalent atoms, fractional coordinates:
Mg (0.1640, 0.3360, 0.0000) x4  6 Pd 2.69-2.94, 1 Mg 2.94
Si (0.0000, 0.0000, 0.5000) x2  4 Pd 2.40
Pd (0.1544, 0.6544, 0.5000) x4  2 Si 2.40

Entry 6:
First-principles (GGA-PBE) data for YTmTh after structural relaxation, as listed in Alexandria via LeMat-Bulk.

Computed properties:
E above lowest polymorph: 47.5 meV per atom
Energy of formation from the pure elements: 0.069 eV per atom
Size of the total moment: 0.000 μB per formula unit
DFT total energy: -72.59 eV/cell
N(E_F): 18.10 states/eV per cell

a b c (Å): 6.8057 7.0348 8.6316
angles (deg): 101.93 97.04 105.23
Closest atoms and distances in Å follow each position.
Space group P-1 (No. 2)
Inequivalent atoms, fractional coordinates:
Y (0.0894, 0.2246, 0.3390) x2  4 Th 3.21-3.60, 3 Tm 3.39-3.58, 1 Y 3.43
Y (0.3933, 0.6403, 0.6777) x2  3 Y 3.43-3.65, 4 Th 3.49-3.63, 4 Tm 3.62-3.65
Tm (0.2441, 0.9359, 0.0189) x2  4 Y 3.39-3.65, 5 Tm 3.44-3.66, 3 Th 3.49-3.75
Tm (0.2450, 0.4381, 0.0151) x2  4 Th 3.39-3.68, 5 Tm 3.41-3.65, 3 Y 3.58-3.63
Th (0.1002, 0.7274, 0.3369) x2  3 Y 3.21-3.52, 1 Th 3.28, 3 Tm 3.39-3.49
Th (0.4031, 0.1460, 0.6730) x2  2 Th 3.28-3.63, 4 Y 3.49-3.64, 2 Tm 3.60-3.61

Entry 7:
First-principles (GGA-PBE) data for Rb2LaSiCl6 after structural relaxation, as listed in Alexandria via LeMat-Bulk.

Computed properties:
Formation energy (no corrections): -1.5915 eV per atom
Size of the total moment: 1.000 μB per formula unit
DFT total energy: -78.56 eV/cell
N(E_F): 0.00 states/eV per cell

a b c (Å): 7.6111 7.6111 12.7093
angles (deg): 90.00 90.00 90.00
Closest atoms and distances in Å follow each position.
Space group I4/mmm (No. 139)
Inequivalent atoms, fractional coordinates:
Rb (0.0000, 0.5000, 0.2500) x4  12 Cl 3.83-4.16
La (0.0000, 0.0000, 0.0000) x2  6 Cl 2.77
Si (0.0000, 0.0000, 0.5000) x2  4 Cl 2.61
Cl (0.0000, 0.0000, 0.2179) x4  1 La 2.77
Cl (0.2425, 0.2425, 0.5000) x8  1 Si 2.61, 1 La 2.77

Entry 8:
First-principles (GGA-PBE) data for CoAgRu2 after structural relaxation, as listed in Alexandria via LeMat-Bulk.

Computed properties:
Energy of formation from the pure elements: 0.726 eV per atom
Size of the total moment: 3.444 μB per formula unit
DFT total energy: -25.61 eV/cell
N(E_F): 6.20 states/eV per cell

a b c (Å): 4.6010 4.6010 2.7354
angles (deg): 90.00 90.00 90.00
Closest atoms and distances in Å follow each position.
Space group P4/mmm (No. 123)
Inequivalent atoms, fractional coordinates:
Co (0.0000, 0.0000, 0.0000) x1  8 Ru 2.68, 2 Co 2.74
Ag (0.5000, 0.5000, 0.0000) x1  8 Ru 2.68, 2 Ag 2.74
Ru (0.0000, 0.5000, 0.5000) x2  4 Ag 2.68, 4 Co 2.68, 2 Ru 2.74

Entry 9:
First-principles (GGA-PBE) data for LiAl4Ni after structural relaxation, as listed in Alexandria via LeMat-Bulk.

Computed properties:
E above lowest polymorph: 48.1 meV per atom
Energy of formation from the pure elements: -0.176 eV per atom
Size of the total moment: 0.000 μB per formula unit
DFT total energy: -23.72 eV/cell
N(E_F): 2.78 states/eV per cell

a b c (Å): 4.9615 2.7941 6.3537
angles (deg): 90.00 90.42 90.00
Closest atoms and distances in Å follow each position.
Space group P2/m (No. 10)
Inequivalent atoms, fractional coordinates:
Li (0.0000, 0.0000, 0.0000) x1  6 Al 2.56-2.65, 2 Li 2.79, 4 Ni 2.85
Al (0.1787, 0.5000, 0.3267) x2  1 Ni 2.63, 2 Li 2.65, 9 Al 2.79-2.91
Al (0.3342, 0.0000, 0.6957) x2  2 Ni 2.52, 1 Li 2.56, 4 Al 2.79-2.80
Ni (0.5000, 0.5000, 0.0000) x1  6 Al 2.52-2.63, 2 Ni 2.79

Entry 10:
First-principles (GGA-PBE) data for Ba2Pu2Pd15 after structural relaxation, as listed in Alexandria via LeMat-Bulk.

Computed properties:
Energy of formation from the pure elements: -0.378 eV per atom
Size of the total moment: 9.625 μB per formula unit
DFT total energy: -352.73 eV/cell
N(E_F): 117.57 states/eV per cell

a b c (Å): 9.4861 9.4861 14.1431
angles (deg): 90.00 90.00 120.00
Closest atoms and distances in Å follow each position.
Space group R-3m (No. 166, hexagonal axes)
Inequivalent atoms, fractional coordinates:
Ba (0.0000, 0.0000, 0.1440) x6  15 Pd 3.33-3.69, 1 Pu 3.60
Pu (0.0000, 0.0000, 0.3986) x6  1 Pu 2.87, 12 Pd 2.89-3.16
Pd (0.0000, 0.2967, 0.5000) x18  8 Pd 2.76-2.91
Pd (0.0000, 0.5000, 0.0000) x9  8 Pd 2.73-2.76, 2 Pu 2.89
Pd (0.0026, 0.5013, 0.3456) x18  8 Pd 2.73-2.91, 1 Pu 2.93

Entry 11:
First-principles (GGA-PBE) data for Sm12YIn4O3 after structural relaxation, as listed in Alexandria via LeMat-Bulk.

Computed properties:
Formation energy (no corrections): -0.7812 eV per atom
Size of the total moment: 0.000 μB per formula unit
DFT total energy: -209.09 eV/cell
N(E_F): 32.08 states/eV per cell

a b c (Å): 10.1896 10.1896 10.1896
angles (deg): 90.00 90.00 90.00
Closest atoms and distances in Å follow each position.
Space group Im-3m (No. 229)
Inequivalent atoms, fractional coordinates:
Sm (0.0000, 0.0000, 0.2753) x12  1 O 2.29
Sm (0.0000, 0.2500, 0.5000) x12  2 O 2.55
Y (0.0000, 0.0000, 0.0000) x2  6 Sm 2.81
In (0.2500, 0.2500, 0.2500) x8  12 Sm 3.60-3.61
O (0.0000, 0.0000, 0.5000) x6  6 Sm 2.29-2.55

Entry 12:
First-principles (GGA-PBE) data for BaSb4 after structural relaxation, as listed in Alexandria via LeMat-Bulk.

Computed properties:
E above lowest polymorph: 0.0 meV per atom
Formation energy (no corrections): -0.3036 eV per atom
Size of the total moment: 0.000 μB per formula unit
DFT total energy: -39.86 eV/cell
N(E_F): 8.48 states/eV per cell

a b c (Å): 9.0209 9.0209 4.1359
angles (deg): 90.00 90.00 90.00
Closest atoms and distances in Å follow each position.
Space group I4/m (No. 87)
Inequivalent atoms, fractional coordinates:
Ba (0.0000, 0.0000, 0.0000) x2  12 Sb 3.59-3.73
Sb (0.1511, 0.3087, 0.5000) x8  2 Sb 2.93

Entry 13:
First-principles (GGA-PBE) data for ZnRhBr2 after structural relaxation, as listed in Alexandria via LeMat-Bulk.

Computed properties:
E above lowest polymorph: 632.2 meV per atom
Formation energy (no corrections): 0.4270 eV per atom
Size of the total moment: 0.003 μB per formula unit
DFT total energy: -10.26 eV/cell
N(E_F): 4.66 states/eV per cell

a b c (Å): 4.7875 4.7875 3.3595
angles (deg): 90.00 90.00 90.00
Closest atoms and distances in Å follow each position.
Space group P4/mmm (No. 123)
Inequivalent atoms, fractional coordinates:
Zn (0.0000, 0.0000, 0.0000) x1  8 Br 2.92
Rh (0.5000, 0.5000, 0.0000) x1  8 Br 2.92
Br (0.0000, 0.5000, 0.5000) x2  4 Rh 2.92, 4 Zn 2.92

Entry 14:
First-principles (GGA-PBE) data for Ta3HSe after structural relaxation, as listed in Alexandria via LeMat-Bulk.

Computed properties:
E above lowest polymorph: 0.0 meV per atom
Size of the total moment: 0.000 μB per formula unit
DFT total energy: -41.23 eV/cell
N(E_F): 3.70 states/eV per cell

a b c (Å): 4.2029 4.2029 4.2029
angles (deg): 90.00 90.00 90.00
Closest atoms and distances in Å follow each position.
Space group Pm-3m (No. 221)
Inequivalent atoms, fractional coordinates:
Ta (0.0000, 0.0000, 0.5000) x3  2 H 2.10
H (0.0000, 0.0000, 0.0000) x1  6 Ta 2.10
Se (0.5000, 0.5000, 0.5000) x1  12 Ta 2.97

Entry 15:
First-principles (GGA-PBE) data for LaNd2InH after structural relaxation, as listed in Alexandria via LeMat-Bulk.

Computed properties:
Size of the total moment: 0.001 μB per formula unit
DFT total energy: -22.40 eV/cell
N(E_F): 8.03 states/eV per cell

a b c (Å): 5.1030 5.1030 4.9119
angles (deg): 90.00 90.00 90.00
Closest atoms and distances in Å follow each position.
Space group P4/mmm (No. 123)
Inequivalent atoms, fractional coordinates:
La (0.0000, 0.0000, 0.0000) x1  2 H 2.46
Nd (0.0000, 0.5000, 0.5000) x2  2 H 2.55
In (0.5000, 0.5000, 0.0000) x1  8 Nd 3.54, 4 La 3.61
H (0.0000, 0.0000, 0.5000) x1  2 La 2.46, 4 Nd 2.55

Entry 16:
First-principles (GGA-PBE) data for LaMg2Ru after structural relaxation, as listed in Alexandria via LeMat-Bulk.

Computed properties:
Energy of formation from the pure elements: -0.004 eV per atom
Size of the total moment: 0.000 μB per formula unit
DFT total energy: -17.41 eV/cell
N(E_F): 3.08 states/eV per cell

a b c (Å): 3.4196 4.8904 5.5426
angles (deg): 90.00 107.04 90.00
Closest atoms and distances in Å follow each position.
Space group P2/m (No. 10)
Inequivalent atoms, fractional coordinates:
La (0.0000, 0.0000, 0.0000) x1  2 Ru 2.77
Mg (0.3590, 0.5000, 0.7079) x2  2 Mg 2.75-2.83, 2 Ru 2.83
Ru (0.0000, 0.0000, 0.5000) x1  2 La 2.77, 4 Mg 2.83

Entry 17:
First-principles (GGA-PBE) data for LiTaBr2 after structural relaxation, as listed in Alexandria via LeMat-Bulk.

Computed properties:
E above lowest polymorph: 477.2 meV per atom
Formation energy (no corrections): 0.1743 eV per atom
Size of the total moment: 2.041 μB per formula unit
DFT total energy: -65.66 eV/cell
N(E_F): 10.61 states/eV per cell

a b c (Å): 6.2477 6.2477 10.0662
angles (deg): 90.00 90.00 90.00
Closest atoms and distances in Å follow each position.
Space group I-42d (No. 122)
Inequivalent atoms, fractional coordinates:
Li (0.0000, 0.0000, 0.0000) x4  4 Br 2.47
Ta (0.0000, 0.0000, 0.5000) x4  4 Br 2.62
Br (0.2300, 0.2500, 0.1250) x8  2 Li 2.47, 2 Ta 2.62

Entry 18:
First-principles (GGA-PBE) data for Cs3NbGe after structural relaxation, as listed in Alexandria via LeMat-Bulk.

Computed properties:
Energy of formation from the pure elements: 1.314 eV per atom
Size of the total moment: 7.990 μB per formula unit
DFT total energy: -10.68 eV/cell
N(E_F): 2.43 states/eV per cell

a b c (Å): 7.1253 7.1253 7.1253
angles (deg): 90.00 90.00 90.00
Closest atoms and distances in Å follow each position.
Space group Pm-3m (No. 221)
Inequivalent atoms, fractional coordinates:
Cs (0.0000, 0.0000, 0.5000) x3  2 Nb 3.56
Nb (0.0000, 0.0000, 0.0000) x1  6 Cs 3.56
Ge (0.5000, 0.5000, 0.5000) x1  12 Cs 5.04

Entry 19:
First-principles (GGA-PBE) data for ReSeBr2 after structural relaxation, as listed in Alexandria via LeMat-Bulk.

Computed properties:
E above lowest polymorph: 1164.7 meV per atom
Formation energy (no corrections): 1.2076 eV per atom
Size of the total moment: 3.711 μB per formula unit
DFT total energy: -14.45 eV/cell
N(E_F): 2.15 states/eV per cell

a b c (Å): 3.1917 4.5688 6.3781
angles (deg): 90.00 90.00 90.00
Closest atoms and distances in Å follow each position.
Space group Pmmm (No. 47)
Inequivalent atoms, fractional coordinates:
Re (0.0000, 0.0000, 0.0000) x1  4 Br 2.79
Se (0.5000, 0.0000, 0.5000) x1  4 Br 2.79
Br (0.0000, 0.5000, 0.5000) x1  4 Se 2.79
Br (0.5000, 0.5000, 0.0000) x1  4 Re 2.79

Entry 20:
First-principles (GGA-PBE) data for CsNi2PdCl8 after structural relaxation, as listed in Alexandria via LeMat-Bulk.

Computed properties:
Formation energy (no corrections): -0.7140 eV per atom
Size of the total moment: 2.974 μB per formula unit
DFT total energy: -122.85 eV/cell
N(E_F): 21.29 states/eV per cell

a b c (Å): 6.3874 6.3874 28.7757
angles (deg): 90.00 90.00 120.00
Closest atoms and distances in Å follow each position.
Space group R-3 (No. 148, hexagonal axes)
Inequivalent atoms, fractional coordinates:
Cs (0.0000, 0.0000, 0.0000) x3  12 Cl 3.74-4.05
Ni (0.0000, 0.0000, 0.2368) x6  4 Cl 2.18-2.21
Pd (0.0000, 0.0000, 0.5000) x3  6 Cl 2.45
Cl (0.0000, 0.0000, 0.3125) x6  1 Ni 2.18
Cl (0.0154, 0.3178, 0.4497) x18  1 Ni 2.21, 1 Pd 2.45